(1)
# Tb2PrGd (GGA-PBE, relaxed)
data_Tb2PrGd
_chemical_formula_sum 'Tb2 Pr1 Gd1'
_space_group_name_H-M_alt 'P 4/m m m'
_space_group_IT_number 123
_space_group_name_Hall '-P 4 2'
_cell_length_a 3.6145
_cell_length_b 3.6145
_cell_length_c 10.1556
_cell_angle_alpha 90.00
_cell_angle_beta 90.00
_cell_angle_gamma 90.00
loop_
_atom_site_label
_atom_site_fract_x
_atom_site_fract_y
_atom_site_fract_z
_atom_site_occupancy
Tb1 0.0000 0.0000 0.2463 1
Pr1 0.5000 0.5000 0.5000 1
Gd1 0.5000 0.5000 0.0000 1
# - total magnetization (Bohr magnetons per cell) = 7.2
# - total DFT energy (no corrections) (eV per atom) = -7.007

---

(2)
# Li2HfB (GGA-PBE, relaxed)
data_Li2HfB
_chemical_formula_sum 'Li8 Hf4 B4'
_space_group_name_H-M_alt 'I -4 2 d'
_space_group_IT_number 122
_space_group_name_Hall 'I -4 2bw'
_cell_length_a 3.4496
_cell_length_b 3.4496
_cell_length_c 19.2160
_cell_angle_alpha 90.00
_cell_angle_beta 90.00
_cell_angle_gamma 90.00
loop_
_atom_site_label
_atom_site_fract_x
_atom_site_fract_y
_atom_site_fract_z
_atom_site_occupancy
Li1 0.1936 0.2500 0.1250 1
Hf1 0.0000 0.0000 0.5000 1
B1 0.0000 0.0000 0.0000 1
# - total magnetization (Bohr magnetons per cell) = 0.0
# - total DFT energy (no corrections) (eV per atom) = -4.867

---

(3)
# BaCa2Br (GGA-PBE, relaxed)
data_BaCa2Br
_chemical_formula_sum 'Ba2 Ca4 Br2'
_space_group_name_H-M_alt 'I m m m'
_space_group_IT_number 71
_space_group_name_Hall '-I 2 2'
_cell_length_a 3.8774
_cell_length_b 6.5420
_cell_length_c 12.5621
_cell_angle_alpha 90.00
_cell_angle_beta 90.00
_cell_angle_gamma 90.00
loop_
_atom_site_label
_atom_site_fract_x
_atom_site_fract_y
_atom_site_fract_z
_atom_site_occupancy
Ba1 0.0000 0.0000 0.0000 1
Ca1 0.0000 0.5000 0.2073 1
Br1 0.0000 0.0000 0.5000 1
# - formation energy (no corrections) (eV/atom) = -0.625
# - total magnetization (Bohr magnetons per cell) = 0.0

---

(4)
# RbLiNp2Se4 (GGA-PBE, relaxed)
data_RbLiNp2Se4
_chemical_formula_sum 'Rb4 Li4 Np8 Se16'
_space_group_name_H-M_alt 'C m c m'
_space_group_IT_number 63
_space_group_name_Hall '-C 2c 2'
_cell_length_a 4.2566
_cell_length_b 14.1908
_cell_length_c 14.6775
_cell_angle_alpha 90.00
_cell_angle_beta 90.00
_cell_angle_gamma 90.00
loop_
_atom_site_label
_atom_site_fract_x
_atom_site_fract_y
_atom_site_fract_z
_atom_site_occupancy
Rb1 0.0000 0.1084 0.2500 1
Li1 0.0000 0.1669 0.7500 1
Np1 0.0000 0.3685 0.0590 1
Se1 0.0000 0.0000 0.0000 1
Se2 0.0000 0.2610 0.6063 1
Se3 0.0000 0.4229 0.2500 1
# - formation energy (no corrections) (eV/atom) = -1.225
# - total magnetization (Bohr magnetons per cell) = 32.0

---

(5)
# Mg12Tl5Bi2 (GGA-PBE, relaxed)
data_Mg12Tl5Bi2
_chemical_formula_sum 'Mg24 Tl10 Bi4'
_space_group_name_H-M_alt 'C 1 2/m 1'
_space_group_IT_number 12
_cell_length_a 14.8042
_cell_length_b 9.0271
_cell_length_c 7.2884
_cell_angle_alpha 90.00
_cell_angle_beta 95.61
_cell_angle_gamma 90.00
loop_
_space_group_symop_operation_xyz
'x,y,z'
'-x,-y,-z'
'-x,y,-z'
'x,-y,z'
'x+1/2,y+1/2,z'
'-x+1/2,-y+1/2,-z'
'-x+1/2,y+1/2,-z'
'x+1/2,-y+1/2,z'
loop_
_atom_site_label
_atom_site_fract_x
_atom_site_fract_y
_atom_site_fract_z
_atom_site_occupancy
Mg1 0.0446 0.0000 0.2522 1
Mg2 0.1017 0.2107 0.5977 1
Mg3 0.1414 0.5000 0.8730 1
Mg4 0.1954 0.2575 0.2005 1
Tl1 0.0000 0.5000 0.5000 1
Tl2 0.1719 0.0000 0.9078 1
Tl3 0.2398 0.5000 0.5233 1
Bi1 0.0000 0.2818 0.0000 1
# - total magnetization (Bohr magnetons per cell) = 0.0
# - total DFT energy (no corrections) (eV per atom) = -2.060

---

(6)
# Pr2Nd6Ag (GGA-PBE, relaxed)
data_Pr2Nd6Ag
_chemical_formula_sum 'Pr4 Nd12 Ag2'
_space_group_name_H-M_alt 'I m m m'
_space_group_IT_number 71
_space_group_name_Hall '-I 2 2'
_cell_length_a 3.6747
_cell_length_b 10.5938
_cell_length_c 15.7541
_cell_angle_alpha 90.00
_cell_angle_beta 90.00
_cell_angle_gamma 90.00
loop_
_atom_site_label
_atom_site_fract_x
_atom_site_fract_y
_atom_site_fract_z
_atom_site_occupancy
Pr1 0.0000 0.0000 0.1364 1
Nd1 0.0000 0.2601 0.5000 1
Nd2 0.0000 0.3433 0.1824 1
Ag1 0.0000 0.5000 0.0000 1
# - total magnetization (Bohr magnetons per cell) = 0.0
# - total DFT energy (no corrections) (eV per atom) = -4.499

---

(7)
# ZrTaSi2 (GGA-PBE, relaxed)
data_ZrTaSi2
_chemical_formula_sum 'Zr2 Ta2 Si4'
_space_group_name_H-M_alt 'C 1 m 1'
_space_group_IT_number 8
_cell_length_a 10.0269
_cell_length_b 2.8942
_cell_length_c 4.7472
_cell_angle_alpha 90.00
_cell_angle_beta 104.89
_cell_angle_gamma 90.00
loop_
_space_group_symop_operation_xyz
'x,y,z'
'x,-y,z'
'x+1/2,y+1/2,z'
'x+1/2,-y+1/2,z'
loop_
_atom_site_label
_atom_site_fract_x
_atom_site_fract_y
_atom_site_fract_z
_atom_site_occupancy
Zr1 0.0000 0.0000 0.0000 1
Ta1 0.2098 0.0000 0.6132 1
Si1 0.2522 0.5000 0.1400 1
Si2 0.4607 0.0000 0.4777 1
# - formation energy (no corrections) (eV/atom) = -0.338
# - total magnetization (Bohr magnetons per cell) = 0.0

---

(8)
# NaLiSe2N (GGA-PBE, relaxed)
data_NaLiSe2N
_chemical_formula_sum 'Na1 Li1 Se2 N1'
_space_group_name_H-M_alt 'P 4/m m m'
_space_group_IT_number 123
_space_group_name_Hall '-P 4 2'
_cell_length_a 4.9560
_cell_length_b 4.9560
_cell_length_c 3.6327
_cell_angle_alpha 90.00
_cell_angle_beta 90.00
_cell_angle_gamma 90.00
loop_
_atom_site_label
_atom_site_fract_x
_atom_site_fract_y
_atom_site_fract_z
_atom_site_occupancy
Na1 0.0000 0.0000 0.0000 1
Li1 0.5000 0.5000 0.5000 1
Se1 0.0000 0.5000 0.5000 1
N1 0.5000 0.5000 0.0000 1
# - formation energy (no corrections) (eV/atom) = 0.546
# - total magnetization (Bohr magnetons per cell) = 0.0